Entry 1:
Below is an optimized crystal structure of LiAc5, with properties calculated at the PBE level.

a b c (Å): 7.077 7.077 9.628
angles (deg): 110.36 110.36 33.46
Sites, in units of the cell vectors:
Li  0.000  0.000  0.000
Ac  0.002  0.002  0.502
Ac  0.328  0.328  0.693
Ac  0.359  0.359  0.146
Ac  0.644  0.644  0.858
Ac  0.673  0.673  0.308

Properties
- Raw total energy: -3.7038 eV per atom
- Polymorph energy (0 for the lowest one): 0.00 kcal/mol of atoms
- Size of the total moment: 0.0 μB per formula unit
- ρ: 7.66 g/cm3

Entry 2:
Below is an optimized crystal structure of CaTa2Ti, with properties calculated at the PBE level.

a b c (Å): 10.559 10.559 10.559
angles (deg): 157.56 157.56 31.95
Sites, in units of the cell vectors:
Ca  0.000  0.000  0.000
Ca  0.750  0.250  0.500
Ta  0.143  0.125  0.518
Ta  0.375  0.857  0.982
Ta  0.607  0.625  0.482
Ta  0.875  0.393  0.018
Ti  0.250  0.750  0.500
Ti  0.500  0.500  0.000

Properties
- Raw total energy: -7.4383 eV per atom
- Polymorph energy (0 for the lowest one): 3.39 kcal/mol of atoms
- Size of the total moment: 0.0 μB per formula unit
- ρ: 8.71 g/cm3

Entry 3:
Below is an optimized crystal structure of Sn8Pd3Au2, with properties calculated at the PBE level.

a b c (Å): 8.274 4.624 8.472
angles (deg): 90.00 109.31 90.00
Sites, in units of the cell vectors:
Sn  0.118  0.000  0.389
Sn  0.126  0.500  0.877
Sn  0.374  0.500  0.628
Sn  0.375  0.000  0.120
Sn  0.625  0.000  0.880
Sn  0.626  0.500  0.372
Sn  0.874  0.500  0.123
Sn  0.882  0.000  0.611
Pd  0.248  0.000  0.750
Pd  0.500  0.500  0.000
Pd  0.752  0.000  0.250
Au  0.247  0.500  0.260
Au  0.753  0.500  0.740

Properties
- Raw total energy: -4.3969 eV per atom
- Size of the total moment: 0.0 μB per formula unit
- ρ: 9.03 g/cm3

Entry 4:
Below is an optimized crystal structure of PaTl2F6, with properties calculated at the PBE level.

a b c (Å): 3.762 7.021 7.021
angles (deg): 120.15 90.00 90.00
Sites, in units of the cell vectors:
Pa  0.000  0.000  0.000
Tl  0.500  0.333  0.666
Tl  0.500  0.666  0.333
F  0.000  0.001  0.323
F  0.000  0.323  0.001
F  0.000  0.677  0.677
F  0.500  0.000  0.781
F  0.500  0.220  0.220
F  0.500  0.781  0.000

Properties
- Raw total energy: -5.7683 eV per atom
- Size of the total moment: 1.0 μB per formula unit
- ρ: 7.80 g/cm3
- Uncorrected formation energy: -26.5 eV per formula unit

Entry 5:
Below is an optimized crystal structure of CsI2, with properties calculated at the PBE level.

a b c (Å): 6.201 6.201 9.832
angles (deg): 90.11 90.11 72.32
Sites, in units of the cell vectors:
Cs  0.220  0.220  0.231
Cs  0.780  0.780  0.769
I  0.162  0.162  0.837
I  0.396  0.396  0.604
I  0.604  0.604  0.396
I  0.838  0.838  0.163

Properties
- Raw total energy: -2.3811 eV per atom
- Polymorph energy (0 for the lowest one): 0.00 kcal/mol of atoms
- Size of the total moment: 0.0 μB per formula unit
- ρ: 3.57 g/cm3
- Uncorrected formation energy: -3.2 eV per formula unit

Entry 6:
Below is an optimized crystal structure of Ca2TePPt6, with properties calculated at the PBE level.

a b c (Å): 5.633 8.457 8.664
angles (deg): 90.00 90.00 90.00
Sites, in units of the cell vectors:
Ca  0.250  0.001  0.240
Ca  0.250  0.499  0.240
Ca  0.750  0.501  0.760
Ca  0.750  0.999  0.760
Te  0.250  0.750  0.798
Te  0.750  0.250  0.202
P  0.250  0.250  0.739
P  0.750  0.750  0.261
Pt  0.003  0.750  0.492
Pt  0.006  0.250  0.951
Pt  0.250  0.501  0.618
Pt  0.250  0.999  0.618
Pt  0.494  0.250  0.951
Pt  0.497  0.750  0.492
Pt  0.503  0.250  0.508
Pt  0.506  0.750  0.049
Pt  0.750  0.001  0.382
Pt  0.750  0.499  0.382
Pt  0.994  0.750  0.049
Pt  0.997  0.250  0.508

Properties
- Raw total energy: -5.5921 eV per atom
- Size of the total moment: 0.0 μB per formula unit
- ρ: 11.34 g/cm3
- Uncorrected formation energy: -7.1 eV per formula unit

Entry 7:
Below is an optimized crystal structure of VFeNi5, with properties calculated at the PBE level.

a b c (Å): 3.542 3.542 6.757
angles (deg): 90.00 90.00 90.00
Sites, in units of the cell vectors:
V  0.000  0.000  0.000
Fe  0.500  0.500  0.500
Ni  0.000  0.500  0.261
Ni  0.000  0.500  0.739
Ni  0.500  0.000  0.261
Ni  0.500  0.000  0.739
Ni  0.500  0.500  0.000

Properties
- Raw total energy: -6.6215 eV per atom
- Size of the total moment: 4.4 μB per formula unit
- ρ: 7.84 g/cm3

Entry 8:
Below is an optimized crystal structure of Ni4Ge2Se, with properties calculated at the PBE level.

a b c (Å): 6.805 6.805 6.805
angles (deg): 142.39 142.39 54.25
Sites, in units of the cell vectors:
Ni  0.000  0.500  0.500
Ni  0.186  0.186  0.000
Ni  0.500  0.000  0.500
Ni  0.814  0.814  0.000
Ge  0.374  0.374  0.000
Ge  0.626  0.626  0.000
Se  0.000  0.000  0.000

Properties
- Raw total energy: -4.7367 eV per atom
- Size of the total moment: 0.0 μB per formula unit
- ρ: 6.54 g/cm3
- Uncorrected formation energy: 2.7 eV per formula unit

Entry 9:
Below is an optimized crystal structure of K3Cd8Hg, with properties calculated at the PBE level.

a b c (Å): 11.053 11.053 11.053
angles (deg): 32.71 32.71 32.71
Sites, in units of the cell vectors:
K  0.000  0.000  0.000
K  0.128  0.128  0.128
K  0.620  0.620  0.620
Cd  0.062  0.062  0.561
Cd  0.062  0.561  0.062
Cd  0.064  0.563  0.563
Cd  0.313  0.313  0.313
Cd  0.561  0.062  0.062
Cd  0.563  0.064  0.563
Cd  0.563  0.563  0.064
Cd  0.812  0.812  0.812
Hg  0.499  0.499  0.499

Properties
- Raw total energy: -0.9841 eV per atom
- Size of the total moment: 0.0 μB per formula unit
- ρ: 5.76 g/cm3

Entry 10:
Below is an optimized crystal structure of ZrSb2IF, with properties calculated at the PBE level.

a b c (Å): 5.562 5.562 5.577
angles (deg): 90.00 90.00 90.00
Sites, in units of the cell vectors:
Zr  0.000  0.000  0.000
Sb  0.000  0.500  0.000
Sb  0.500  0.000  0.000
I  0.000  0.000  0.500
F  0.500  0.500  0.500

Properties
- Raw total energy: -4.1680 eV per atom
- Polymorph energy (0 for the lowest one): 0.36 kcal/mol of atoms
- Size of the total moment: 0.0 μB per formula unit
- ρ: 4.63 g/cm3
- Uncorrected formation energy: -0.6 eV per formula unit

Entry 11:
Below is an optimized crystal structure of ErHfMnZn, with properties calculated at the PBE level.

a b c (Å): 4.747 4.747 4.747
angles (deg): 60.00 60.00 60.00
Sites, in units of the cell vectors:
Er  0.000  0.000  0.000
Hf  0.500  0.500  0.500
Mn  0.250  0.250  0.250
Zn  0.750  0.750  0.750

Properties
- Raw total energy: -6.2479 eV per atom
- Size of the total moment: 1.5 μB per formula unit
- ρ: 10.24 g/cm3

Entry 12:
Below is an optimized crystal structure of Cs2DyB2O6, with properties calculated at the PBE level.

a b c (Å): 7.766 7.766 7.766
angles (deg): 42.54 42.54 42.54
Sites, in units of the cell vectors:
Cs  0.214  0.214  0.214
Cs  0.786  0.786  0.786
Dy  0.000  0.000  0.000
B  0.394  0.394  0.394
B  0.606  0.606  0.606
O  0.253  0.253  0.678
O  0.253  0.678  0.253
O  0.322  0.747  0.747
O  0.678  0.253  0.253
O  0.747  0.322  0.747
O  0.747  0.747  0.322

Properties
- Raw total energy: -6.9262 eV per atom
- Size of the total moment: 1.0 μB per formula unit
- ρ: 4.67 g/cm3
- Uncorrected formation energy: -26.8 eV per formula unit

Look up the raw total energy of the fifth one.
-2.3811 eV per atom

What is the ρ in the tenth record?
4.63 g/cm3

Which value of size of the total moment does entry 10 give?
0.0 μB per formula unit

ρ of number 1 (LiAc5)?
7.66 g/cm3